The following is a meta-GGA SCAN calculation of a crystal of BeGeAsBr2 relaxed with PBEsol, from Alexandria.

SG ... P4/mmm (123)
Uncorrected formation energy ... 0.285 eV/atom

Cell: 4.616 4.616 4.786 Å, 90.00 90.00 90.00°
Atoms (fractional coordinates):
Be: 0.000 0.000 0.000
Ge: 0.500 0.500 0.500
As: 0.000 0.000 0.500
Br: 0.000 0.500 0.000
Br: 0.500 0.000 0.000

***

The following is a meta-GGA SCAN calculation of a crystal of Na2P2Ir relaxed with PBEsol, from Alexandria.

Formation enthalpy at 0 K ... -700 meV per atom
SG ... P4/mbm (127)

Cell: 5.945 5.945 4.804 Å, 90.00 90.00 90.00°
Atoms (fractional coordinates):
Na: 0.185 0.315 0.000
Na: 0.315 0.815 0.000
Na: 0.685 0.185 0.000
Na: 0.815 0.685 0.000
P: 0.131 0.631 0.500
P: 0.369 0.131 0.500
P: 0.631 0.869 0.500
P: 0.869 0.369 0.500
Ir: 0.000 0.000 0.500
Ir: 0.500 0.500 0.500

***

The following is a meta-GGA SCAN calculation of a crystal of MoP3C relaxed with PBEsol, from Alexandria.

Formation enthalpy at 0 K ... 1745 meV per atom
SG ... Pm-3m (221)
Energy relative to the lowest polymorph listed for this composition ... 602 meV per atom

Cell: 4.595 4.595 4.595 Å, 90.00 90.00 90.00°
Atoms (fractional coordinates):
Mo: 0.000 0.000 0.000
P: 0.000 0.000 0.500
P: 0.000 0.500 0.000
P: 0.500 0.000 0.000
C: 0.500 0.500 0.500

***

The following is a meta-GGA SCAN calculation of a crystal of SrRe3I relaxed with PBEsol, from Alexandria.

SG ... Pm-3m (221)
Uncorrected formation energy ... 4.228 eV/atom

Cell: 4.845 4.845 4.845 Å, 90.00 90.00 90.00°
Atoms (fractional coordinates):
Sr: 0.000 0.000 0.000
Re: 0.000 0.000 0.500
Re: 0.000 0.500 0.000
Re: 0.500 0.000 0.000
I: 0.500 0.500 0.500

***

The following is a meta-GGA SCAN calculation of a crystal of BeTlBr2 relaxed with PBEsol, from Alexandria.

SG ... Fm-3m (225)
Uncorrected formation energy ... 0.107 eV/atom
Energy relative to the lowest polymorph listed for this composition ... 529 meV per atom

Cell: 5.209 5.209 5.209 Å, 60.00 60.00 60.00°
Atoms (fractional coordinates):
Be: 0.000 0.000 0.000
Tl: 0.500 0.500 0.500
Br: 0.250 0.250 0.250
Br: 0.750 0.750 0.750

***

The following is a meta-GGA SCAN calculation of a crystal of Bi3BO6 relaxed with PBEsol, from Alexandria.

SG ... Pnma (62)
Uncorrected formation energy ... -1.462 eV/atom

Cell: 12.661 9.770 4.644 Å, 90.00 90.00 90.00°
Atoms (fractional coordinates):
Bi: 0.093 0.250 0.014
Bi: 0.134 0.568 0.530
Bi: 0.134 0.932 0.530
Bi: 0.366 0.068 0.030
Bi: 0.366 0.432 0.030
Bi: 0.407 0.750 0.514
Bi: 0.593 0.250 0.486
Bi: 0.634 0.568 0.970
Bi: 0.634 0.932 0.970
Bi: 0.866 0.068 0.470
Bi: 0.866 0.432 0.470
Bi: 0.907 0.750 0.986
B: 0.224 0.750 0.078
B: 0.276 0.250 0.578
B: 0.724 0.750 0.422
B: 0.776 0.250 0.922
O: 0.045 0.088 0.294
O: 0.045 0.412 0.294
O: 0.110 0.750 0.169
O: 0.231 0.120 0.714
O: 0.231 0.380 0.714
O: 0.247 0.750 0.771
O: 0.253 0.250 0.271
O: 0.269 0.620 0.214
O: 0.269 0.880 0.214
O: 0.390 0.250 0.669
O: 0.455 0.588 0.794
O: 0.455 0.912 0.794
O: 0.545 0.088 0.206
O: 0.545 0.412 0.206
O: 0.610 0.750 0.331
O: 0.731 0.120 0.786
O: 0.731 0.380 0.786
O: 0.747 0.750 0.729
O: 0.753 0.250 0.229
O: 0.769 0.620 0.286
O: 0.769 0.880 0.286
O: 0.890 0.250 0.831
O: 0.955 0.588 0.706
O: 0.955 0.912 0.706

***

The following is a meta-GGA SCAN calculation of a crystal of Mn2SnOsW relaxed with PBEsol, from Alexandria.

Formation enthalpy at 0 K ... 1832 meV per atom
SG ... P4/mmm (123)

Cell: 4.398 4.398 5.044 Å, 90.00 90.00 90.00°
Atoms (fractional coordinates):
Mn: 0.000 0.500 0.000
Mn: 0.500 0.000 0.000
Sn: 0.000 0.000 0.500
Os: 0.500 0.500 0.500
W: 0.000 0.000 0.000

***

The following is a meta-GGA SCAN calculation of a crystal of LiCu2Ru relaxed with PBEsol, from Alexandria.

Formation enthalpy at 0 K ... 127 meV per atom
SG ... P2/m (10)
Energy relative to the lowest polymorph listed for this composition ... 97 meV per atom

Cell: 2.425 4.026 5.024 Å, 90.00 102.57 90.00°
Atoms (fractional coordinates):
Li: 0.000 0.000 0.000
Cu: 0.417 0.500 0.248
Cu: 0.583 0.500 0.752
Ru: 0.000 0.000 0.500

***

The following is a meta-GGA SCAN calculation of a crystal of Zr2ScRe relaxed with PBEsol, from Alexandria.

Formation enthalpy at 0 K ... 86 meV per atom
SG ... R-3m (166)

Cell: 9.533 9.533 9.533 Å, 19.20 19.20 19.20°
Atoms (fractional coordinates):
Zr: 0.239 0.239 0.239
Zr: 0.761 0.761 0.761
Sc: 0.000 0.000 0.000
Re: 0.500 0.500 0.500

***

The following is a meta-GGA SCAN calculation of a crystal of CaHg relaxed with PBEsol, from Alexandria.

Formation enthalpy at 0 K ... -728 meV per atom
SG ... Pm-3m (221)

Cell: 3.710 3.710 3.710 Å, 90.00 90.00 90.00°
Atoms (fractional coordinates):
Ca: 0.000 0.000 0.000
Hg: 0.500 0.500 0.500

***

The following is a meta-GGA SCAN calculation of a crystal of ZrAs relaxed with PBEsol, from Alexandria.

Formation enthalpy at 0 K ... -568 meV per atom
SG ... F-43m (216)

Cell: 4.235 4.235 4.235 Å, 60.00 60.00 60.00°
Atoms (fractional coordinates):
Zr: 0.000 0.000 0.000
As: 0.750 0.750 0.750

***

The following is a meta-GGA SCAN calculation of a crystal of Sr2ZnP relaxed with PBEsol, from Alexandria.

Formation enthalpy at 0 K ... -753 meV per atom
SG ... Amm2 (38)
Energy relative to the lowest polymorph listed for this composition ... 0 meV per atom

Cell: 4.216 6.147 6.147 Å, 42.22 90.00 90.00°
Atoms (fractional coordinates):
Sr: 0.000 0.000 0.000
Sr: 0.500 0.279 0.279
Zn: 0.500 0.575 0.575
P: 0.000 0.711 0.711

***

The following is a meta-GGA SCAN calculation of a crystal of TaMn3In relaxed with PBEsol, from Alexandria.

Formation enthalpy at 0 K ... 1007 meV per atom
SG ... Pm-3m (221)

Cell: 4.577 4.577 4.577 Å, 90.00 90.00 90.00°
Atoms (fractional coordinates):
Ta: 0.000 0.000 0.000
Mn: 0.000 0.000 0.500
Mn: 0.000 0.500 0.000
Mn: 0.500 0.000 0.000
In: 0.500 0.500 0.500

***

The following is a meta-GGA SCAN calculation of a crystal of Nb3SbRh relaxed with PBEsol, from Alexandria.

SG ... Pm-3m (221)
Uncorrected formation energy ... 0.725 eV/atom

Cell: 4.779 4.779 4.779 Å, 90.00 90.00 90.00°
Atoms (fractional coordinates):
Nb: 0.000 0.000 0.500
Nb: 0.000 0.500 0.000
Nb: 0.500 0.000 0.000
Sb: 0.500 0.500 0.500
Rh: 0.000 0.000 0.000

***

The following is a meta-GGA SCAN calculation of a crystal of CaCd2P relaxed with PBEsol, from Alexandria.

Formation enthalpy at 0 K ... -514 meV per atom
SG ... Amm2 (38)

Cell: 3.807 6.075 6.075 Å, 39.38 90.00 90.00°
Atoms (fractional coordinates):
Ca: 0.000 0.000 0.000
Cd: 0.000 0.718 0.718
Cd: 0.500 0.314 0.314
P: 0.500 0.549 0.549

***

The following is a meta-GGA SCAN calculation of a crystal of Cd2Cu relaxed with PBEsol, from Alexandria.

Formation enthalpy at 0 K ... 45 meV per atom
SG ... Fd-3m (227)

Cell: 8.364 8.364 8.364 Å, 60.00 60.00 60.00°
Atoms (fractional coordinates):
Cd: 0.000 0.000 0.000
Cd: 0.000 0.000 0.500
Cd: 0.000 0.500 0.000
Cd: 0.188 0.188 0.562
Cd: 0.188 0.562 0.188
Cd: 0.188 0.562 0.562
Cd: 0.438 0.438 0.812
Cd: 0.438 0.812 0.438
Cd: 0.438 0.812 0.812
Cd: 0.500 0.000 0.000
Cd: 0.562 0.188 0.188
Cd: 0.562 0.188 0.562
Cd: 0.562 0.562 0.188
Cd: 0.812 0.438 0.438
Cd: 0.812 0.438 0.812
Cd: 0.812 0.812 0.438
Cu: 0.134 0.789 0.789
Cu: 0.211 0.211 0.211
Cu: 0.211 0.211 0.866
Cu: 0.211 0.866 0.211
Cu: 0.789 0.134 0.789
Cu: 0.789 0.789 0.134
Cu: 0.789 0.789 0.789
Cu: 0.866 0.211 0.211

***

The following is a meta-GGA SCAN calculation of a crystal of Ta5Ru3 relaxed with PBEsol, from Alexandria.

Formation enthalpy at 0 K ... -398 meV per atom
SG ... Cmmm (65)

Cell: 5.480 5.480 4.473 Å, 90.00 90.00 109.19°
Atoms (fractional coordinates):
Ta: 0.000 0.000 0.000
Ta: 0.000 0.500 0.000
Ta: 0.251 0.251 0.500
Ta: 0.500 0.000 0.000
Ta: 0.749 0.749 0.500
Ru: 0.255 0.745 0.500
Ru: 0.500 0.500 0.000
Ru: 0.745 0.255 0.500

***

The following is a meta-GGA SCAN calculation of a crystal of Zr2CdBr relaxed with PBEsol, from Alexandria.

SG ... Imm2 (44)
Uncorrected formation energy ... -0.154 eV/atom
Energy relative to the lowest polymorph listed for this composition ... 58 meV per atom

Cell: 6.073 6.073 6.073 Å, 149.04 131.61 58.56°
Atoms (fractional coordinates):
Zr: 0.000 0.000 0.000
Zr: 0.754 0.254 0.500
Cd: 0.474 0.474 0.000
Br: 0.207 0.707 0.500

***

The following is a meta-GGA SCAN calculation of a crystal of Pt2RhW relaxed with PBEsol, from Alexandria.

Formation enthalpy at 0 K ... -227 meV per atom
SG ... Cm (8)
Energy relative to the lowest polymorph listed for this composition ... 76 meV per atom

Cell: 4.778 4.778 4.761 Å, 99.52 99.52 33.16°
Atoms (fractional coordinates):
Pt: 0.000 0.000 0.000
Pt: 0.245 0.245 0.741
Rh: 0.493 0.493 0.488
W: 0.749 0.749 0.247

***

The following is a meta-GGA SCAN calculation of a crystal of CaLa2P relaxed with PBEsol, from Alexandria.

Formation enthalpy at 0 K ... -111 meV per atom
SG ... F-43m (216)

Cell: 5.204 5.204 5.204 Å, 60.00 60.00 60.00°
Atoms (fractional coordinates):
Ca: 0.000 0.000 0.000
La: 0.500 0.500 0.500
La: 0.750 0.750 0.750
P: 0.250 0.250 0.250

***

| no. | M_tot (μB/f.u.) | E_tot (eV/atom) | calculated volume (Å³/atom) |
| --- | --- | --- | --- |
| 1 | 0.00 | -16.23 | 20.39 |
| 2 | 0.00 | -20.77 | 16.98 |
| 3 | 1.21 | -13.49 | 19.40 |
| 4 | 2.69 | -50.23 | 22.74 |
| 5 | 0.97 | -28.80 | 24.98 |
| 6 | 0.00 | -29.52 | 14.36 |
| 7 | 4.28 | -40.97 | 19.51 |
| 8 | 0.00 | -16.78 | 11.97 |
| 9 | 1.23 | -36.60 | 20.48 |
| 10 | 0.00 | -39.64 | 25.54 |
| 11 | 0.00 | -26.01 | 26.85 |
| 12 | 0.01 | -17.87 | 26.76 |
| 13 | 8.49 | -29.94 | 19.17 |
| 14 | 0.00 | -33.36 | 21.83 |
| 15 | 0.00 | -20.74 | 22.28 |
| 16 | 0.00 | -25.30 | 17.24 |
| 17 | 0.00 | -55.07 | 15.86 |
| 18 | 0.00 | -27.97 | 21.37 |
| 19 | 0.00 | -61.19 | 14.64 |
| 20 | 3.33 | -26.68 | 24.91 |